Entry 1:
Density functional theory data (PBE) for Ta2BeNi2 after structural relaxation.

```
data_Ta2BeNi2
_space_group_name_H-M_alt 'P 1'
_space_group_IT_number 1
_cell_length_a 6.493
_cell_length_b 6.493
_cell_length_c 3.309
_cell_angle_alpha 90.00
_cell_angle_beta 90.00
_cell_angle_gamma 90.00
loop_
_space_group_symop_operation_xyz
'x,y,z'
loop_
_atom_site_label
_atom_site_type_symbol
_atom_site_fract_x
_atom_site_fract_y
_atom_site_fract_z
Ta1 Ta 0.676 0.824 0.500
Ta2 Ta 0.176 0.676 0.500
Ta3 Ta 0.324 0.176 0.500
Ta4 Ta 0.824 0.324 0.500
Ni1 Ni 0.630 0.130 0.000
Ni2 Ni 0.870 0.630 0.000
Ni3 Ni 0.130 0.370 0.000
Ni4 Ni 0.370 0.870 0.000
Be1 Be 0.500 0.500 0.000
Be2 Be 0.000 0.000 0.000
```

Output
The space group is P4/mbm. The calculation puts the theoretical density at 11.63 g/cm³. The total magnetization is 0.00 μB/f.u. The calculated formation energy is -0.35 eV per formula unit. As for the crystal system: tetragonal.

---

Entry 2:
Density functional theory data (PBE) for TaBeNi after structural relaxation.

```
data_TaBeNi
_space_group_name_H-M_alt 'P 1'
_space_group_IT_number 1
_cell_length_a 2.803
_cell_length_b 2.803
_cell_length_c 5.783
_cell_angle_alpha 90.00
_cell_angle_beta 90.00
_cell_angle_gamma 120.00
loop_
_space_group_symop_operation_xyz
'x,y,z'
loop_
_atom_site_label
_atom_site_type_symbol
_atom_site_fract_x
_atom_site_fract_y
_atom_site_fract_z
Ni1 Ni 0.667 0.333 0.298
Ta1 Ta 0.333 0.667 0.671
Be1 Be 0.000 0.000 0.031
```

Output
The space group is P3m1. The calculation puts the theoretical density at 10.49 g/cm³. The total magnetization is 0.00 μB/f.u. The calculated formation energy is 0.50 eV per formula unit. As for the crystal system: trigonal.

---

Entry 3:
Density functional theory data (PBE) for Ta4BeNi after structural relaxation.

```
data_Ta4BeNi
_space_group_name_H-M_alt 'P 1'
_space_group_IT_number 1
_cell_length_a 5.332
_cell_length_b 5.332
_cell_length_c 5.332
_cell_angle_alpha 60.00
_cell_angle_beta 60.00
_cell_angle_gamma 60.00
loop_
_space_group_symop_operation_xyz
'x,y,z'
loop_
_atom_site_label
_atom_site_type_symbol
_atom_site_fract_x
_atom_site_fract_y
_atom_site_fract_z
Ta1 Ta 0.873 0.376 0.376
Ta2 Ta 0.376 0.376 0.873
Ta3 Ta 0.376 0.376 0.376
Ta4 Ta 0.376 0.873 0.376
Ni1 Ni 0.000 0.000 0.000
Be1 Be 0.750 0.750 0.750
```

Output
The space group is F-43m. The calculation puts the theoretical density at 12.26 g/cm³. The total magnetization is 0.00 μB/f.u. The calculated formation energy is 4.68 eV per formula unit. As for the crystal system: cubic.

---

Entry 4:
Density functional theory data (PBE) for TaBe3Ni after structural relaxation.

```
data_TaBe3Ni
_space_group_name_H-M_alt 'P 1'
_space_group_IT_number 1
_cell_length_a 4.383
_cell_length_b 4.383
_cell_length_c 4.383
_cell_angle_alpha 90.00
_cell_angle_beta 90.00
_cell_angle_gamma 90.00
loop_
_space_group_symop_operation_xyz
'x,y,z'
loop_
_atom_site_label
_atom_site_type_symbol
_atom_site_fract_x
_atom_site_fract_y
_atom_site_fract_z
Be1 Be 0.000 0.000 0.500
Be2 Be 0.500 0.000 0.000
Be3 Be 0.000 0.500 0.000
Ni1 Ni 0.500 0.500 0.500
Ta1 Ta 0.000 0.000 0.000
```

Output
The space group is Pm-3m. The calculation puts the theoretical density at 5.26 g/cm³. The total magnetization is 0.00 μB/f.u. The calculated formation energy is 9.51 eV per formula unit. As for the crystal system: cubic.

---

What did the fourth record say?
Density functional theory data (PBE) for TaBe3Ni after structural relaxation.

```
data_TaBe3Ni
_space_group_name_H-M_alt 'P 1'
_space_group_IT_number 1
_cell_length_a 4.383
_cell_length_b 4.383
_cell_length_c 4.383
_cell_angle_alpha 90.00
_cell_angle_beta 90.00
_cell_angle_gamma 90.00
loop_
_space_group_symop_operation_xyz
'x,y,z'
loop_
_atom_site_label
_atom_site_type_symbol
_atom_site_fract_x
_atom_site_fract_y
_atom_site_fract_z
Be1 Be 0.000 0.000 0.500
Be2 Be 0.500 0.000 0.000
Be3 Be 0.000 0.500 0.000
Ni1 Ni 0.500 0.500 0.500
Ta1 Ta 0.000 0.000 0.000
```

Output
The space group is Pm-3m. The calculation puts the theoretical density at 5.26 g/cm³. The total magnetization is 0.00 μB/f.u. The calculated formation energy is 9.51 eV per formula unit. As for the crystal system: cubic.

---

- calculated formation energy of number 1 (Ta2BeNi2)?
  -0.35 eV per formula unit

---

- Among the records above, which one has the lowest calculated formation energy?
  Ta2BeNi2